[1]
! BeIr2Br (PBE-GGA, optimized geometry); values from VASP
&SYSTEM
  ibrav = 0, nat = 4, ntyp = 3
/
ATOMIC_SPECIES
Be 9.01 Be.upf
Ir 192.22 Ir.upf
Br 79.90 Br.upf
ATOMIC_POSITIONS angstrom
Be 0.000 0.000 0.000
Ir 1.530 1.530 1.530
Ir 4.590 4.590 4.590
Br 3.060 3.060 3.060
CELL_PARAMETERS angstrom
0.000 3.060 3.060
3.060 0.000 3.060
3.060 3.060 0.000
! Raw formation energy   883 meV per atom
! Space-group type   Fm-3m (225)
! Excess energy over the best structure of this formula in the dataset   0.610 eV/atom

=====

[2]
! BeIr2Br (PBE-GGA, optimized geometry); values from VASP
&SYSTEM
  ibrav = 0, nat = 4, ntyp = 3
/
ATOMIC_SPECIES
Be 9.01 Be.upf
Ir 192.22 Ir.upf
Br 79.90 Br.upf
ATOMIC_POSITIONS angstrom
Be 0.000 0.000 0.000
Ir 1.768 0.000 3.611
Ir 6.307 0.000 0.983
Br 4.037 0.000 2.297
CELL_PARAMETERS angstrom
4.575 -1.409 0.000
4.575 1.409 0.000
-1.074 0.000 4.594
! Raw formation energy   467 meV per atom
! Space-group type   C2/m (12)
! Excess energy over the best structure of this formula in the dataset   0.194 eV/atom

=====

[3]
! Be2IrBr (PBE-GGA, optimized geometry); values from VASP
&SYSTEM
  ibrav = 0, nat = 4, ntyp = 3
/
ATOMIC_SPECIES
Be 9.01 Be.upf
Ir 192.22 Ir.upf
Br 79.90 Br.upf
ATOMIC_POSITIONS angstrom
Be 0.000 0.000 1.142
Be 0.000 0.000 7.554
Ir 1.429 1.429 0.000
Br 1.429 1.429 4.348
CELL_PARAMETERS angstrom
2.858 0.000 0.000
0.000 2.858 0.000
0.000 0.000 8.696
! Raw formation energy   -47 meV per atom
! Space-group type   P4/mmm (123)
! Excess energy over the best structure of this formula in the dataset   0.114 eV/atom

=====

[4]
! BeIrBr2 (PBE-GGA, optimized geometry); values from VASP
&SYSTEM
  ibrav = 0, nat = 4, ntyp = 3
/
ATOMIC_SPECIES
Be 9.01 Be.upf
Ir 192.22 Ir.upf
Br 79.90 Br.upf
ATOMIC_POSITIONS angstrom
Be 0.000 0.000 0.000
Ir 1.535 1.779 0.356
Br 0.000 0.000 2.320
Br 1.535 1.779 5.904
CELL_PARAMETERS angstrom
3.070 0.000 0.000
0.000 3.557 0.000
0.000 0.000 7.960
! Raw formation energy   219 meV per atom
! Space-group type   Pmm2 (25)
! Excess energy over the best structure of this formula in the dataset   0.209 eV/atom